No. 1
## Sb2TePb (PBE-GGA)

Data for crystalline Sb2TePb at its relaxed geometry.

Calculated values
Formation energy without anion corrections, meV per atom: 137
E, eV/f.u.: -14.5
Total magnetic moment, μB per cell: 0.00
Relative energy among the computed polymorphs, meV/atom: 279

```
8
Lattice="6.656 0.000 0.000 0.000 10.723 0.000 -1.138 0.000 3.244" Properties=species:S:1:pos:R:3 pbc="T T T"
Sb 1.664 2.681 0.000
Sb 1.664 8.042 0.000
Sb 4.992 2.681 0.000
Sb 4.992 8.042 0.000
Te -0.569 0.000 1.622
Te 2.759 5.362 1.622
Pb -0.569 5.362 1.622
Pb 2.759 0.000 1.622
```



No. 2
## AgPPtS2 (PBE-GGA)

Data for crystalline AgPPtS2 at its relaxed geometry.

Calculated values
Formation energy without anion corrections, meV per atom: 1389
E, eV/f.u.: -15.6
Total magnetic moment, μB per cell: 1.19
Relative energy among the computed polymorphs, meV/atom: 732

```
5
Lattice="4.747 0.000 0.000 0.000 4.747 0.000 0.000 0.000 4.743" Properties=species:S:1:pos:R:3 pbc="T T T"
Ag 0.000 0.000 0.000
P 0.000 0.000 2.371
Pt 2.373 2.373 2.371
S 0.000 2.373 0.000
S 2.373 0.000 0.000
```